PBE ScCo2Se, optimized geometry; raw formation energy = -20 kJ per mole of atoms; magnetization = 0.00 Bohr magnetons per cell; space-group type = No. 119; crystal system = tetragonal
1.0
-1.8245 1.8245 4.1696
1.8245 -1.8245 4.1696
1.8245 1.8245 -4.1696
Sc Co Se
1 2 1
direct
0.0000 0.0000 0.0000
0.5000 0.5000 0.0000
0.7500 0.2500 0.5000
0.2500 0.7500 0.5000